Li2MgZn2GaPd2 | PBE | optimized geometry

Properties
E in eV/atom: -3.163
Density in g/cm³: 6.329

a = 4.376 Å, b = 4.376 Å, c = 6.186 Å
α = 90.00°, β = 90.00°, γ = 90.00°
Fractional positions:
Mg 0.500 0.500 0.000
Pd 0.500 0.000 0.262
Pd 0.000 0.500 0.738
Zn 0.500 0.500 0.500
Zn 0.000 0.000 0.000
Li 0.500 0.000 0.740
Li 0.000 0.500 0.260
Ga 0.000 0.000 0.500